DFT (GGA+U) results for a relaxed Li2CoBiO4 crystal.

```
Li2CoBiO4
1.0
-0.1105 -0.9143 3.1029
6.8155 0.7672 -1.2192
-0.5251 8.7172 2.5498
Li O Co Bi
4 8 2 2
Cartesian
5.0942 8.5473 2.7000 Li
0.8744 3.5285 2.7590 Li
5.3054 5.0416 1.6745 Li
1.0856 0.0228 1.7335 Li
4.3445 1.2015 0.5088 O
1.8353 7.3687 3.9247 O
1.9774 5.0089 3.2344 O
1.8069 1.8136 2.2869 O
-0.2626 4.3586 1.2749 O
4.2024 3.5612 1.1990 O
0.0000 0.0000 0.0000 O
4.3729 6.7565 2.1466 O
2.8071 2.3141 0.7819 Co
3.3727 6.2561 3.6516 Co
5.4261 1.9796 2.4647 Bi
0.7537 6.5905 1.9687 Bi
```

## Properties
calculated volume = 199.5 Å³/cell
DOS(E_F) = 0.15 states/eV per atom
DFT total energy = -85.08 eV for the cell shown
total magnetic moment = 3.97 μB per formula unit
symmetry = Cmcm (63)